(1)
{"formula": "CaTbBi2", "functional": "PBE", "state": "optimized geometry", "cell": [[3.477, 0.000, 0.000], [0.000, 5.897, 0.000], [0.000, 0.000, 5.897]], "species": ["Ca", "Tb", "Bi", "Bi"], "frac_coords": [[0.500, 0.000, 0.000], [0.500, 0.500, 0.500], [0.000, 0.000, 0.500], [0.000, 0.500, 0.000]], "ef_kcal_per_mol_atoms": -15.6, "vol_a3_per_cell": 121, "dos_ef_per_ev_fu": 2.19, "spacegroup": "P4/mmm (123)"}

---

(2)
{"formula": "IrRu2Cl", "functional": "PBE", "state": "optimized geometry", "cell": [[-0.320, 2.170, 1.712], [-1.912, -2.778, 3.166], [4.178, -0.813, 1.811]], "species": ["Cl", "Ir", "Ru", "Ru"], "frac_coords": [[0.500, 0.500, 0.000], [0.500, 0.000, 0.500], [0.000, 0.000, 0.000], [0.000, 0.500, 0.500]], "e_form_raw_ev_per_atom": 0.82, "vol_a3_per_cell": 60, "dos_ef_per_ev_fu": 6.60, "spacegroup": "P4/mmm (123)"}

---

(3)
{"formula": "Pm2DyEr3Te6", "functional": "PBE", "state": "optimized geometry", "cell": [[4.335, 0.000, 0.000], [0.000, 8.823, 0.239], [-2.167, -2.624, 9.212]], "species": ["Pm", "Pm", "Dy", "Er", "Er", "Er", "Te", "Te", "Te", "Te", "Te", "Te"], "frac_coords": [[0.831, 0.663, 0.661], [0.169, 0.337, 0.339], [0.500, 0.000, 0.000], [0.500, 0.500, 0.000], [0.829, 0.165, 0.659], [0.171, 0.835, 0.341], [0.335, 0.925, 0.669], [0.662, 0.591, 0.325], [0.665, 0.075, 0.331], [0.997, 0.250, 0.993], [0.003, 0.750, 0.007], [0.338, 0.409, 0.675]], "e_form_raw_ev_per_atom": -1.29, "vol_a3_per_cell": 355, "dos_ef_per_ev_fu": 6.30, "spacegroup": "C2/m (12)"}